{
  "formula": "Cr2Os",
  "functional": "GGA-PBE",
  "state": "relaxed",
  "sg": "Cmcm (63)",
  "m_tot_mub_per_atom": 0.000,
  "delta_e_f_mev_per_atom": 87,
  "n_ef_per_ev_fu": 3.8,
  "lattice_angstrom": [[2.900, 0.000, 0.000], [0.000, 12.416, 0.000], [0.000, 0.000, 4.208]],
  "species": ["Cr", "Cr", "Cr", "Cr", "Cr", "Cr", "Cr", "Cr", "Os", "Os", "Os", "Os"],
  "fractional_positions": [[0.000, 0.100, 0.250], [0.000, 0.255, 0.750], [0.000, 0.745, 0.250], [0.000, 0.900, 0.750], [0.500, 0.245, 0.250], [0.500, 0.400, 0.750], [0.500, 0.600, 0.250], [0.500, 0.755, 0.750], [0.000, 0.423, 0.250], [0.000, 0.577, 0.750], [0.500, 0.077, 0.750], [0.500, 0.923, 0.250]]
}